[1]
# Li2CoNi, relaxed, DFT PBE
data_Li2CoNi
_chemical_formula_sum 'Li2 Co1 Ni1'
_symmetry_space_group_name_H-M 'P 1'
_symmetry_Int_Tables_number 1
_cell_length_a 2.407
_cell_length_b 2.407
_cell_length_c 8.138
_cell_angle_alpha 90.00
_cell_angle_beta 90.00
_cell_angle_gamma 90.00
loop_
_symmetry_equiv_pos_as_xyz
'x,y,z'
loop_
_atom_site_label
_atom_site_type_symbol
_atom_site_fract_x
_atom_site_fract_y
_atom_site_fract_z
Li1 Li 0.000 0.000 0.243
Li2 Li 0.000 0.000 0.757
Co1 Co 0.500 0.500 0.500
Ni1 Ni 0.500 0.500 0.000
# Polymorph energy (0 for the lowest one) ... 0.46 eV/f.u.
# Crystal system ... tetragonal
# Formation energy from the elements ... 142 meV/atom
# SG ... No. 123



[2]
# Mg6Zn5Ir, relaxed, DFT PBE
data_Mg6Zn5Ir
_chemical_formula_sum 'Mg6 Zn5 Ir1'
_symmetry_space_group_name_H-M 'P 1'
_symmetry_Int_Tables_number 1
_cell_length_a 4.771
_cell_length_b 6.160
_cell_length_c 7.384
_cell_angle_alpha 90.00
_cell_angle_beta 107.63
_cell_angle_gamma 90.00
loop_
_symmetry_equiv_pos_as_xyz
'x,y,z'
loop_
_atom_site_label
_atom_site_type_symbol
_atom_site_fract_x
_atom_site_fract_y
_atom_site_fract_z
Mg1 Mg 0.000 0.240 0.000
Mg2 Mg 0.000 0.760 0.000
Mg3 Mg 0.277 0.244 0.677
Mg4 Mg 0.277 0.756 0.677
Mg5 Mg 0.723 0.244 0.323
Mg6 Mg 0.723 0.756 0.323
Zn1 Zn 0.242 0.500 0.348
Zn2 Zn 0.247 0.000 0.332
Zn3 Zn 0.500 0.500 0.000
Zn4 Zn 0.753 0.000 0.668
Zn5 Zn 0.758 0.500 0.652
Ir1 Ir 0.500 0.000 0.000
# Crystal system ... monoclinic
# Formation energy from the elements ... -166 meV/atom
# SG ... No. 10



[3]
# La2Sc, relaxed, DFT PBE
data_La2Sc
_chemical_formula_sum 'La4 Sc2'
_symmetry_space_group_name_H-M 'P 1'
_symmetry_Int_Tables_number 1
_cell_length_a 6.394
_cell_length_b 6.394
_cell_length_c 6.394
_cell_angle_alpha 105.63
_cell_angle_beta 105.63
_cell_angle_gamma 117.45
loop_
_symmetry_equiv_pos_as_xyz
'x,y,z'
loop_
_atom_site_label
_atom_site_type_symbol
_atom_site_fract_x
_atom_site_fract_y
_atom_site_fract_z
La1 La 0.150 0.650 0.800
La2 La 0.350 0.150 0.500
La3 La 0.650 0.850 0.500
La4 La 0.850 0.350 0.200
Sc1 Sc 0.250 0.250 0.000
Sc2 Sc 0.750 0.750 0.000
# Polymorph energy (0 for the lowest one) ... 0.46 eV/f.u.
# Crystal system ... tetragonal
# Formation energy from the elements ... 206 meV/atom
# SG ... No. 140



[4]
# La2YIr, relaxed, DFT PBE
data_La2YIr
_chemical_formula_sum 'La8 Y4 Ir4'
_symmetry_space_group_name_H-M 'P 1'
_symmetry_Int_Tables_number 1
_cell_length_a 7.378
_cell_length_b 10.125
_cell_length_c 6.435
_cell_angle_alpha 90.00
_cell_angle_beta 90.00
_cell_angle_gamma 90.00
loop_
_symmetry_equiv_pos_as_xyz
'x,y,z'
loop_
_atom_site_label
_atom_site_type_symbol
_atom_site_fract_x
_atom_site_fract_y
_atom_site_fract_z
La1 La 0.175 0.067 0.174
La2 La 0.175 0.433 0.174
La3 La 0.325 0.567 0.674
La4 La 0.325 0.933 0.674
La5 La 0.675 0.067 0.326
La6 La 0.675 0.433 0.326
La7 La 0.825 0.567 0.826
La8 La 0.825 0.933 0.826
Y1 Y 0.038 0.250 0.655
Y2 Y 0.462 0.750 0.155
Y3 Y 0.538 0.250 0.845
Y4 Y 0.962 0.750 0.345
Ir1 Ir 0.123 0.750 0.940
Ir2 Ir 0.377 0.250 0.440
Ir3 Ir 0.623 0.750 0.560
Ir4 Ir 0.877 0.250 0.060
# Polymorph energy (0 for the lowest one) ... 0.00 eV/f.u.
# Crystal system ... orthorhombic
# Formation energy from the elements ... -495 meV/atom
# SG ... No. 62



[5]
# NpGa4Rh2, relaxed, DFT PBE
data_NpGa4Rh2
_chemical_formula_sum 'Np4 Ga16 Rh8'
_symmetry_space_group_name_H-M 'P 1'
_symmetry_Int_Tables_number 1
_cell_length_a 17.041
_cell_length_b 4.314
_cell_length_c 6.577
_cell_angle_alpha 90.00
_cell_angle_beta 90.00
_cell_angle_gamma 90.00
loop_
_symmetry_equiv_pos_as_xyz
'x,y,z'
loop_
_atom_site_label
_atom_site_type_symbol
_atom_site_fract_x
_atom_site_fract_y
_atom_site_fract_z
Np1 Np 0.138 0.250 0.020
Np2 Np 0.362 0.750 0.520
Np3 Np 0.638 0.250 0.480
Np4 Np 0.862 0.750 0.980
Ga1 Ga 0.037 0.750 0.838
Ga2 Ga 0.069 0.250 0.492
Ga3 Ga 0.187 0.750 0.325
Ga4 Ga 0.190 0.750 0.730
Ga5 Ga 0.310 0.250 0.230
Ga6 Ga 0.313 0.250 0.825
Ga7 Ga 0.431 0.750 0.992
Ga8 Ga 0.463 0.250 0.338
Ga9 Ga 0.537 0.750 0.662
Ga10 Ga 0.569 0.250 0.008
Ga11 Ga 0.687 0.750 0.175
Ga12 Ga 0.690 0.750 0.770
Ga13 Ga 0.810 0.250 0.270
Ga14 Ga 0.813 0.250 0.675
Ga15 Ga 0.931 0.750 0.508
Ga16 Ga 0.963 0.250 0.162
Rh1 Rh 0.039 0.750 0.240
Rh2 Rh 0.215 0.250 0.529
Rh3 Rh 0.285 0.750 0.029
Rh4 Rh 0.461 0.250 0.740
Rh5 Rh 0.539 0.750 0.260
Rh6 Rh 0.715 0.250 0.971
Rh7 Rh 0.785 0.750 0.471
Rh8 Rh 0.961 0.250 0.760
# Polymorph energy (0 for the lowest one) ... 0.00 eV/f.u.
# Crystal system ... orthorhombic
# Formation energy from the elements ... -453 meV/atom
# SG ... No. 62



[6]
# La2AsBr2, relaxed, DFT PBE
data_La2AsBr2
_chemical_formula_sum 'La4 As2 Br4'
_symmetry_space_group_name_H-M 'P 1'
_symmetry_Int_Tables_number 1
_cell_length_a 8.026
_cell_length_b 8.026
_cell_length_c 4.527
_cell_angle_alpha 90.00
_cell_angle_beta 90.00
_cell_angle_gamma 90.00
loop_
_symmetry_equiv_pos_as_xyz
'x,y,z'
loop_
_atom_site_label
_atom_site_type_symbol
_atom_site_fract_x
_atom_site_fract_y
_atom_site_fract_z
La1 La 0.170 0.330 0.000
La2 La 0.330 0.830 0.000
La3 La 0.670 0.170 0.000
La4 La 0.830 0.670 0.000
As1 As 0.000 0.000 0.000
As2 As 0.500 0.500 0.000
Br1 Br 0.140 0.640 0.500
Br2 Br 0.360 0.140 0.500
Br3 Br 0.640 0.860 0.500
Br4 Br 0.860 0.360 0.500
# Crystal system ... tetragonal
# ΔE_f (raw) ... -6.9 eV per formula unit
# SG ... No. 127



- Which formula does entry 3 have?
  La2Sc